Material: BaAuSI2
Method: DFT, PBE-GGA
State: optimized geometry

Calculated values
uncorrected energy = -0.1030 hartree per atom
ΔE_f (raw) = -0.3175 eV/atom
magnetization = 0.00 μB per cell

Cell: 5.4351 5.4351 6.3610 Å, 90.00 90.00 90.00°
Closest atoms and distances in Å follow each position.
Space group P4/mmm (No. 123)
Symmetry-distinct sites (fractional):
Ba1 0.0000 0.0000 0.0000 x1  2 S 3.18
Au1 0.5000 0.5000 0.0000 x1  4 Ba 3.84, 8 I 4.18
S1 0.0000 0.0000 0.5000 x1  4 I 2.72
I1 0.0000 0.5000 0.5000 x2  2 S 2.72